(1)
This record from the Alexandria database describes crystalline BeTlSi at its relaxed geometry. The functional is PBE-GGA.

Cell and atoms, written as CIF:
```
data_BeTlSi
_chemical_formula_sum 'Be1 Tl1 Si1'
_cell_length_a 6.2932
_cell_length_b 6.2047
_cell_length_c 3.2407
_cell_angle_alpha 76.49
_cell_angle_beta 73.47
_cell_angle_gamma 30.05
_symmetry_space_group_name_H-M 'P 1'
_symmetry_Int_Tables_number 1
loop_
_symmetry_equiv_pos_as_xyz
'x,y,z'
loop_
_atom_site_label
_atom_site_type_symbol
_atom_site_fract_x
_atom_site_fract_y
_atom_site_fract_z
_atom_site_occupancy
Be1 Be 0.0000 0.0000 0.0000 1
Tl1 Tl 0.7396 0.7396 0.2604 1
Si1 Si 0.4634 0.4634 0.5366 1
```

Calculated values
The calculation puts the magnetization at 0.00 μB/f.u. The value obtained for the energy above the lowest structure with this stoichiometry is 14.7 kJ per mole of atoms.

***

(2)
This record from the Alexandria database describes crystalline Be2TlSi at its relaxed geometry. The functional is PBE-GGA.

Cell and atoms, written as CIF:
```
data_Be2TlSi
_chemical_formula_sum 'Be2 Tl1 Si1'
_cell_length_a 3.6802
_cell_length_b 3.6802
_cell_length_c 6.4148
_cell_angle_alpha 104.96
_cell_angle_beta 104.96
_cell_angle_gamma 59.81
_symmetry_space_group_name_H-M 'P 1'
_symmetry_Int_Tables_number 1
loop_
_symmetry_equiv_pos_as_xyz
'x,y,z'
loop_
_atom_site_label
_atom_site_type_symbol
_atom_site_fract_x
_atom_site_fract_y
_atom_site_fract_z
_atom_site_occupancy
Be1 Be 0.0000 0.0000 0.0000 1
Be2 Be 0.6671 0.6671 0.0011 1
Tl1 Tl 0.2071 0.2071 0.5888 1
Si1 Si 0.3736 0.3736 0.1339 1
```

Calculated values
The calculation puts the magnetization at 0.00 μB/f.u. The value obtained for the energy above the lowest structure with this stoichiometry is 0.0 kJ per mole of atoms.

***

(3)
This record from the Alexandria database describes crystalline Be2TlSi at its relaxed geometry. The functional is PBE-GGA.

Cell and atoms, written as CIF:
```
data_Be2TlSi
_chemical_formula_sum 'Be2 Tl1 Si1'
_cell_length_a 2.9849
_cell_length_b 3.6832
_cell_length_c 6.2220
_cell_angle_alpha 90.00
_cell_angle_beta 93.16
_cell_angle_gamma 90.00
_symmetry_space_group_name_H-M 'P 1'
_symmetry_Int_Tables_number 1
loop_
_symmetry_equiv_pos_as_xyz
'x,y,z'
loop_
_atom_site_label
_atom_site_type_symbol
_atom_site_fract_x
_atom_site_fract_y
_atom_site_fract_z
_atom_site_occupancy
Be1 Be 0.2073 0.0000 0.3560 1
Be2 Be 0.7927 0.0000 0.6440 1
Tl1 Tl 0.0000 0.5000 0.0000 1
Si1 Si 0.5000 0.5000 0.5000 1
```

Calculated values
The calculation puts the magnetization at 0.00 μB/f.u. The value obtained for the energy above the lowest structure with this stoichiometry is 31.6 kJ per mole of atoms.

***

(4)
This record from the Alexandria database describes crystalline Tm2BeSi2 at its relaxed geometry. The functional is PBE-GGA.

Cell and atoms, written as CIF:
```
data_Tm2BeSi2
_chemical_formula_sum 'Tm4 Be2 Si4'
_cell_length_a 5.5327
_cell_length_b 5.5327
_cell_length_c 10.0907
_cell_angle_alpha 113.89
_cell_angle_beta 113.89
_cell_angle_gamma 41.44
_symmetry_space_group_name_H-M 'P 1'
_symmetry_Int_Tables_number 1
loop_
_symmetry_equiv_pos_as_xyz
'x,y,z'
loop_
_atom_site_label
_atom_site_type_symbol
_atom_site_fract_x
_atom_site_fract_y
_atom_site_fract_z
_atom_site_occupancy
Tm1 Tm 0.1049 0.1049 0.4029 1
Tm2 Tm 0.2940 0.2940 0.8532 1
Tm3 Tm 0.7060 0.7060 0.1468 1
Tm4 Tm 0.8951 0.8951 0.5971 1
Be1 Be 0.4385 0.4385 0.1878 1
Be2 Be 0.5615 0.5615 0.8122 1
Si1 Si 0.0381 0.0381 0.9066 1
Si2 Si 0.3808 0.3808 0.3798 1
Si3 Si 0.6192 0.6192 0.6202 1
Si4 Si 0.9619 0.9619 0.0934 1
```

Calculated values
The calculation puts the magnetization at 0.00 μB/f.u. Its total energy is -0.39339 Ry per atom.

***

(5)
This record from the Alexandria database describes crystalline TmBe3Si3 at its relaxed geometry. The functional is PBE-GGA.

Cell and atoms, written as CIF:
```
data_TmBe3Si3
_chemical_formula_sum 'Tm2 Be6 Si6'
_cell_length_a 6.1026
_cell_length_b 6.1026
_cell_length_c 6.1026
_cell_angle_alpha 90.00
_cell_angle_beta 90.00
_cell_angle_gamma 90.00
_symmetry_space_group_name_H-M 'P 1'
_symmetry_Int_Tables_number 1
loop_
_symmetry_equiv_pos_as_xyz
'x,y,z'
loop_
_atom_site_label
_atom_site_type_symbol
_atom_site_fract_x
_atom_site_fract_y
_atom_site_fract_z
_atom_site_occupancy
Tm1 Tm 0.0000 0.0000 0.0000 1
Tm2 Tm 0.5000 0.5000 0.5000 1
Be1 Be 0.0000 0.2500 0.5000 1
Be2 Be 0.0000 0.7500 0.5000 1
Be3 Be 0.2500 0.5000 0.0000 1
Be4 Be 0.5000 0.0000 0.2500 1
Be5 Be 0.5000 0.0000 0.7500 1
Be6 Be 0.7500 0.5000 0.0000 1
Si1 Si 0.0000 0.5000 0.2500 1
Si2 Si 0.0000 0.5000 0.7500 1
Si3 Si 0.2500 0.0000 0.5000 1
Si4 Si 0.5000 0.2500 0.0000 1
Si5 Si 0.5000 0.7500 0.0000 1
Si6 Si 0.7500 0.0000 0.5000 1
```

Calculated values
The calculation puts the magnetization at 0.00 μB/f.u. Its total energy is -0.31411 Ry per atom.

***

(6)
This record from the Alexandria database describes crystalline Tm2Be2Si3 at its relaxed geometry. The functional is PBE-GGA.

Cell and atoms, written as CIF:
```
data_Tm2Be2Si3
_chemical_formula_sum 'Tm4 Be4 Si6'
_cell_length_a 9.0996
_cell_length_b 9.0996
_cell_length_c 6.5862
_cell_angle_alpha 90.00
_cell_angle_beta 90.00
_cell_angle_gamma 155.52
_symmetry_space_group_name_H-M 'P 1'
_symmetry_Int_Tables_number 1
loop_
_symmetry_equiv_pos_as_xyz
'x,y,z'
loop_
_atom_site_label
_atom_site_type_symbol
_atom_site_fract_x
_atom_site_fract_y
_atom_site_fract_z
_atom_site_occupancy
Tm1 Tm 0.0488 0.9512 0.7500 1
Tm2 Tm 0.1665 0.8335 0.2500 1
Tm3 Tm 0.8335 0.1665 0.7500 1
Tm4 Tm 0.9512 0.0488 0.2500 1
Be1 Be 0.3322 0.6678 0.0908 1
Be2 Be 0.3322 0.6678 0.4092 1
Be3 Be 0.6678 0.3322 0.5908 1
Be4 Be 0.6678 0.3322 0.9092 1
Si1 Si 0.2107 0.7893 0.7500 1
Si2 Si 0.4388 0.5612 0.5732 1
Si3 Si 0.4388 0.5612 0.9268 1
Si4 Si 0.5612 0.4388 0.0732 1
Si5 Si 0.5612 0.4388 0.4268 1
Si6 Si 0.7893 0.2107 0.2500 1
```

Calculated values
The calculation puts the magnetization at 0.00 μB/f.u. Its total energy is -0.37759 Ry per atom.

***

- Which formula does entry 3 have?
  Be2TlSi

***

- Look up the magnetization of the third one.
  0.00 μB/f.u.